# 1
{"formula": "Tm11Al9Ni4", "functional": "GGA-PBE", "state": "relaxed", "lattice_angstrom": [[6.8941, -10.3709, 0.0000], [6.8941, 10.3709, 0.0000], [0.0000, 0.0000, 3.4900]], "species": ["Tm", "Tm", "Tm", "Tm", "Tm", "Tm", "Tm", "Tm", "Tm", "Tm", "Tm", "Al", "Al", "Al", "Al", "Al", "Al", "Al", "Al", "Al", "Ni", "Ni", "Ni", "Ni"], "fractional_positions": [[0.0000, 0.0000, 0.0000], [0.0708, 0.4126, 0.0000], [0.1624, 0.8376, 0.0000], [0.3106, 0.3106, 0.0000], [0.3745, 0.6255, 0.0000], [0.4126, 0.0708, 0.0000], [0.5874, 0.9292, 0.0000], [0.6255, 0.3745, 0.0000], [0.6894, 0.6894, 0.0000], [0.8376, 0.1624, 0.0000], [0.9292, 0.5874, 0.0000], [0.0809, 0.2184, 0.5000], [0.1657, 0.6318, 0.5000], [0.2184, 0.0809, 0.5000], [0.3682, 0.8343, 0.5000], [0.5000, 0.5000, 0.5000], [0.6318, 0.1657, 0.5000], [0.7816, 0.9191, 0.5000], [0.8343, 0.3682, 0.5000], [0.9191, 0.7816, 0.5000], [0.2429, 0.4474, 0.5000], [0.4474, 0.2429, 0.5000], [0.5526, 0.7571, 0.5000], [0.7571, 0.5526, 0.5000]], "formation_energy_ev_per_atom": -0.502, "density_g_cm3": 7.77}

# 2
{"formula": "DyY3Er", "functional": "GGA-PBE", "state": "relaxed", "lattice_angstrom": [[6.2945, 0.0000, 0.0000], [0.0000, 5.6255, 0.0000], [-3.1446, 0.0000, 9.0828]], "species": ["Dy", "Dy", "Y", "Y", "Y", "Y", "Y", "Y", "Er", "Er"], "fractional_positions": [[0.0687, 0.2500, 0.2992], [0.9313, 0.7500, 0.7008], [0.1357, 0.7500, 0.0993], [0.2646, 0.2500, 0.7017], [0.3331, 0.7500, 0.5010], [0.6669, 0.2500, 0.4990], [0.7354, 0.7500, 0.2983], [0.8643, 0.2500, 0.9007], [0.4682, 0.2500, 0.0997], [0.5318, 0.7500, 0.9003]], "formation_energy_ev_per_atom": 0.000, "density_g_cm3": 6.16}

# 3
{"formula": "SmTl2Ni", "functional": "GGA-PBE", "state": "relaxed", "lattice_angstrom": [[1.7694, 1.0216, 9.9266], [-1.7694, 1.0216, 9.9266], [0.0000, -2.0432, 9.9266]], "species": ["Sm", "Tl", "Tl", "Ni"], "fractional_positions": [[0.0000, 0.0000, 0.0000], [0.1070, 0.1070, 0.1070], [0.8930, 0.8930, 0.8930], [0.5000, 0.5000, 0.5000]], "formation_energy_ev_per_atom": 0.313, "density_g_cm3": 9.53}

# 4
{"formula": "CdIn2N", "functional": "GGA-PBE", "state": "relaxed", "lattice_angstrom": [[0.0000, 3.4562, 3.4562], [3.4562, 0.0000, 3.4562], [3.4562, 3.4562, 0.0000]], "species": ["Cd", "In", "In", "N"], "fractional_positions": [[0.0000, 0.0000, 0.0000], [0.2500, 0.2500, 0.2500], [0.7500, 0.7500, 0.7500], [0.5000, 0.5000, 0.5000]], "e_form_raw_ev_per_atom": 0.960, "density_g_cm3": 7.16}

# 5
{"formula": "Pa4NiIr3", "functional": "GGA-PBE", "state": "relaxed", "lattice_angstrom": [[3.7789, 0.0000, 0.0000], [0.0000, 4.1295, 0.0000], [0.0000, 0.0000, 10.9039]], "species": ["Pa", "Pa", "Pa", "Pa", "Ni", "Ir", "Ir", "Ir"], "fractional_positions": [[0.0000, 0.0000, 0.0000], [0.0000, 0.5000, 0.2726], [0.5000, 0.0000, 0.4891], [0.5000, 0.5000, 0.7737], [0.5000, 0.0000, 0.2261], [0.0000, 0.0000, 0.7348], [0.0000, 0.5000, 0.5335], [0.5000, 0.5000, 0.0441]], "formation_energy_ev_per_atom": -0.721, "density_g_cm3": 15.22}

# 6
{"formula": "Ac2SnGe4Rh3", "functional": "GGA-PBE", "state": "relaxed", "lattice_angstrom": [[4.4454, 0.0000, 0.0000], [0.0000, 4.4454, 0.0000], [0.0000, 0.0000, 10.6209]], "species": ["Ac", "Ac", "Sn", "Ge", "Ge", "Ge", "Ge", "Rh", "Rh", "Rh"], "fractional_positions": [[0.0000, 0.5000, 0.2362], [0.5000, 0.0000, 0.7638], [0.0000, 0.0000, 0.5000], [0.0000, 0.0000, 0.0000], [0.0000, 0.5000, 0.6528], [0.5000, 0.0000, 0.3472], [0.5000, 0.5000, 0.0000], [0.0000, 0.5000, 0.8855], [0.5000, 0.0000, 0.1145], [0.5000, 0.5000, 0.5000]], "formation_energy_ev_per_atom": -0.708, "density_g_cm3": 9.27}

The evaluated raw total energy for the records listed, in turn: -4.92, -5.71, -3.49, -2.72, -9.51, -5.98 eV/atom.
The evaluated spin magnetization for the records listed, in turn: 0.000, 0.000, 0.000, 0.000, 0.000, 0.000 μB per atom.